(1)
A plane-wave DFT calculation with PBE was carried out for a relaxed SrAc2Ga crystal.

Its energy of formation from the pure elements is -0.182 eV per atom. Its excess energy over the best structure of this formula in the dataset is 0.00 eV/f.u. The crystal system is tetragonal.

```
SrAc2Ga
1.0
4.003 0.000 0.000
0.000 4.003 0.000
0.000 0.000 10.031
Sr Ac Ga
1 2 1
Direct
0.500 0.500 0.500 Sr
0.000 0.000 0.818 Ac
0.000 0.000 0.182 Ac
0.500 0.500 0.000 Ga
```



(2)
A plane-wave DFT calculation with PBE was carried out for a relaxed SrAcGa2 crystal.

Its energy of formation from the pure elements is -0.394 eV per atom. The crystal system is cubic.

```
SrAcGa2
1.0
-1.354 1.699 -5.100
3.654 -0.476 -4.141
-0.843 -3.715 -4.027
Sr Ac Ga
1 1 2
Direct
0.750 0.750 0.750 Sr
0.250 0.250 0.250 Ac
0.000 0.000 0.000 Ga
0.500 0.500 0.500 Ga
```



(3)
A plane-wave DFT calculation with PBE was carried out for a relaxed Sr2AcGa crystal.

Its energy of formation from the pure elements is -0.037 eV per atom. Its excess energy over the best structure of this formula in the dataset is 0.36 eV/f.u. The crystal system is tetragonal.

```
Sr2AcGa
1.0
5.641 0.000 0.000
0.000 5.161 0.000
0.000 0.000 5.161
Sr Ac Ga
2 1 1
Direct
0.000 0.000 0.500 Sr
0.000 0.500 0.000 Sr
0.500 0.500 0.500 Ac
0.500 0.000 0.000 Ga
```



(4)
A plane-wave DFT calculation with PBE was carried out for a relaxed SrAc2Ga crystal.

Its energy of formation from the pure elements is -0.033 eV per atom. Its excess energy over the best structure of this formula in the dataset is 0.60 eV/f.u. The crystal system is tetragonal.

```
SrAc2Ga
1.0
-2.244 3.652 -2.781
-4.628 -2.694 0.196
-1.326 2.605 4.491
Sr Ac Ga
1 2 1
Direct
0.500 0.000 0.000 Sr
0.000 0.000 0.500 Ac
0.000 0.500 0.000 Ac
0.500 0.500 0.500 Ga
```



Computed values of energy (unit: eV per atom) for the preceding records, in sequence: -3.41; -3.36; -2.66; -3.26.